Here is a PBEsol-optimized structure of OsRuRh from the Alexandria database. Energies are from SCAN.

## Properties
The formation energy comes out at 0.745 eV/atom. The volume comes out at 48.3 Å³/cell. The symmetry is F-43m (216). The calculation puts the total magnetization at 1.29 μB/f.u. The total DFT energy (no corrections) is -138.2 eV per formula unit.

Geometry as POSCAR:
```
OsRuRh
1.0
-1.833 0.462 3.625
-1.388 -3.272 2.021
1.877 -1.243 3.413
Os Rh Ru
1 1 1
direct
0.000 0.000 0.000
0.500 0.500 0.500
0.250 0.250 0.250
```